# 1
Here is crystalline Mg2ZrNb at its relaxed geometry from Alexandria via LeMat-Bulk. Energies are from GGA-PBE.

Values from the calculation:
For the total energy, the calculation gives -77.99 eV/cell. Its energy of formation from the pure elements is 0.58 eV per atom.

a = 7.9749 Å, b = 7.9749 Å, c = 5.4251 Å
α = 90.00°, β = 90.00°, γ = 90.00°
Space group I-42d (No. 122)
Symmetry-distinct sites (fractional):
Mg 0.2369 0.2500 0.1250 [8 per cell]
Zr 0.0000 0.0000 0.5000 [4 per cell]
Nb 0.0000 0.0000 0.0000 [4 per cell]

=====

# 2
Here is crystalline Mg2ZrNb at its relaxed geometry from Alexandria via LeMat-Bulk. Energies are from GGA-PBE.

Values from the calculation:
For the total energy, the calculation gives -82.18 eV/cell. Its energy of formation from the pure elements is 0.32 eV per atom.

a = 6.8715 Å, b = 6.8715 Å, c = 6.8715 Å
α = 90.00°, β = 90.00°, γ = 90.00°
Space group Fm-3m (No. 225)
Symmetry-distinct sites (fractional):
Mg 0.2500 0.2500 0.2500 [8 per cell]
Zr 0.0000 0.0000 0.0000 [4 per cell]
Nb 0.0000 0.0000 0.5000 [4 per cell]

=====

# 3
Here is crystalline MgZr2Nb at its relaxed geometry from Alexandria via LeMat-Bulk. Energies are from GGA-PBE.

Values from the calculation:
For the total energy, the calculation gives -28.63 eV/cell. Its energy of formation from the pure elements is 0.03 eV per atom.

a = 3.5262 Å, b = 3.5262 Å, c = 6.8941 Å
α = 90.00°, β = 90.00°, γ = 90.00°
Space group P4/mmm (No. 123)
Symmetry-distinct sites (fractional):
Mg 0.0000 0.0000 0.0000 [1 per cell]
Zr 0.5000 0.5000 0.2705 [2 per cell]
Nb 0.0000 0.0000 0.5000 [1 per cell]

=====

- energy of formation from the pure elements of number 2 (Mg2ZrNb)?
  0.32 eV per atom